Below is a geometry-optimized LaNd5Dy2Tm structure, with properties calculated at the GGA-PBE level.

Unit cell a=5.735 b=20.310 c=10.695 alpha=90.00 beta=90.00 gamma=90.00
Space group Cmc2_1 (No. 36)
One atom of each set of equivalent atoms:
La: 0.000 0.085 0.000 (multiplicity 4)
Nd: 0.000 0.019 0.288 (multiplicity 4)
Nd: 0.000 0.116 0.568 (multiplicity 4)
Nd: 0.000 0.204 0.253 (multiplicity 4)
Nd: 0.000 0.220 0.861 (multiplicity 4)
Nd: 0.000 0.483 0.568 (multiplicity 4)
Dy: 0.000 0.385 0.863 (multiplicity 4)
Dy: 0.000 0.386 0.280 (multiplicity 4)
Tm: 0.000 0.301 0.557 (multiplicity 4)

Summary:
E_form = 14.3 kJ per mole of atoms
N(E_F) = 14.267 states/eV/f.u.

=====

Below is a geometry-optimized Ac6CoCu2I3 structure, with properties calculated at the GGA-PBE level.

Unit cell a=7.694 b=13.290 c=8.937 alpha=90.00 beta=106.66 gamma=90.00
Space group C2/m (No. 12)
One atom of each set of equivalent atoms:
Ac: 0.220 0.158 0.185 (multiplicity 8)
Ac: 0.247 0.500 0.187 (multiplicity 4)
Co: 0.000 0.000 0.000 (multiplicity 2)
Cu: 0.000 0.334 0.000 (multiplicity 4)
I: 0.000 0.168 0.500 (multiplicity 4)
I: 0.000 0.500 0.500 (multiplicity 2)

Summary:
formation energy from raw total energies = -0.589 eV per atom
N(E_F) = 8.718 states/eV/f.u.

=====

Below is a geometry-optimized RbSrS2Cl structure, with properties calculated at the GGA-PBE level.

Unit cell a=5.442 b=5.442 c=5.742 alpha=90.00 beta=90.00 gamma=90.00
Space group P4/mmm (No. 123)
One atom of each set of equivalent atoms:
Rb: 0.000 0.000 0.000 (multiplicity 1)
Sr: 0.500 0.500 0.500 (multiplicity 1)
S: 0.000 0.500 0.000 (multiplicity 2)
Cl: 0.000 0.000 0.500 (multiplicity 1)

Summary:
ΔE to the lowest computed polymorph = 614.7 meV/atom
formation energy from raw total energies = -0.403 eV per atom
N(E_F) = 2.919 states/eV/f.u.

=====

Below is a geometry-optimized Tm2PuSc5 structure, with properties calculated at the GGA-PBE level.

Unit cell a=6.675 b=6.675 c=9.222 alpha=90.00 beta=90.00 gamma=90.00
Space group I4mm (No. 107)
One atom of each set of equivalent atoms:
Tm: 0.000 0.500 0.000 (multiplicity 4)
Pu: 0.000 0.000 0.000 (multiplicity 2)
Sc: 0.000 0.000 0.500 (multiplicity 2)
Sc: 0.250 0.250 0.250 (multiplicity 8)

Summary:
E_form = 6.5 kJ per mole of atoms
N(E_F) = 17.412 states/eV/f.u.

=====

Below is a geometry-optimized NbP2Pd structure, with properties calculated at the GGA-PBE level.

Unit cell a=6.193 b=6.193 c=6.193 alpha=90.00 beta=90.00 gamma=90.00
Space group Fm-3m (No. 225)
One atom of each set of equivalent atoms:
Nb: 0.000 0.000 0.000 (multiplicity 4)
P: 0.250 0.250 0.250 (multiplicity 8)
Pd: 0.000 0.000 0.500 (multiplicity 4)

Summary:
E_form = -28.3 kJ per mole of atoms
N(E_F) = 1.566 states/eV/f.u.

=====

Below is a geometry-optimized PmNd2DyS6 structure, with properties calculated at the GGA-PBE level.

Unit cell a=7.1145 b=7.1145 c=18.7860 alpha=90.00 beta=90.00 gamma=120.00
Space group R3 (No. 146, hexagonal axes)
One atom of each set of equivalent atoms:
Pm: 0.0000 0.0000 0.0000 (multiplicity 3)
Nd: 0.0000 0.0000 0.2916 (multiplicity 3)
Nd: 0.0000 0.0000 0.7937 (multiplicity 3)
Dy: 0.0000 0.0000 0.4971 (multiplicity 3)
S: 0.0415 0.3581 0.5648 (multiplicity 9)
S: 0.0437 0.6736 0.0657 (multiplicity 9)

Summary:
formation energy from raw total energies = -2.026 eV per atom
N(E_F) = 0.000 states/eV/f.u.